Below is a relaxed Mn2PF crystal, with properties calculated at the PBE with a Hubbard U level.

Cell and atoms, written as POSCAR:
```
Mn2PF
1.0
0.0000 3.1346 3.1346
3.1346 0.0000 3.1346
3.1346 3.1346 0.0000
P Mn F
1 2 1
direct
0.5000 0.5000 0.5000 P
0.2500 0.2500 0.2500 Mn
0.7500 0.7500 0.7500 Mn
0.0000 0.0000 0.0000 F
```

Values from the calculation:
Crystal system: cubic
SG: Fm-3m, No. 225
E_tot, eV/atom: -6.2823
D(E_F), states/eV/cell: 0.0